First-principles (PBE) data for a relaxed Cs2Rb2Hg4Pd crystal, as listed in the Alexandria database.

The structure belongs to space group I4/mmm (No. 139); the cell edges are 8.746, 8.746 and 10.271 Å and the angles 90.00°, 90.00° and 90.00°. The distinct sites, in fractional coordinates, are Cs at (0.000, 0.500, 0.250), Rb at (0.000, 0.000, 0.185), Hg at (0.222, 0.222, 0.500) and Pd at (0.000, 0.000, 0.500).

As for the formation energy: -1.78 eV/f.u. The calculation puts the total DFT energy (no corrections) at -1.314 eV per atom.


First-principles (PBE) data for a relaxed Ti3MnCu2S8 crystal, as listed in the Alexandria database.

The structure belongs to space group R-3m (No. 166, hexagonal axes); the cell edges are 7.0223, 7.0223 and 17.5902 Å and the angles 90.00°, 90.00° and 120.00°. The distinct sites, in fractional coordinates, are Ti at (0.0000, 0.5000, 0.0000), Mn at (0.0000, 0.0000, 0.5000), Cu at (0.0000, 0.0000, 0.1253), S at (0.0000, 0.0000, 0.2543) and S at (0.0161, 0.5080, 0.2519).

The formation energy (no corrections) is -1001 meV per atom. The calculation puts the total DFT energy (no corrections) at -6.291 eV per atom.


First-principles (PBE) data for a relaxed Pm6AlSe5 crystal, as listed in the Alexandria database.

The structure belongs to space group C2/m (No. 12); the cell edges are 7.343, 12.691 and 7.327 Å and the angles 90.00°, 109.38° and 90.00°. The distinct sites, in fractional coordinates, are Pm at (0.247, 0.165, 0.248), Pm at (0.248, 0.000, 0.754), Al at (0.000, 0.000, 0.000), Se at (0.000, 0.167, 0.500), Se at (0.000, 0.333, 0.000) and Se at (0.000, 0.500, 0.500).

The formation energy (no corrections) is -1590 meV per atom. The calculation puts the total DFT energy (no corrections) at -5.729 eV per atom.


First-principles (PBE) data for a relaxed Rb2SrV2S6 crystal, as listed in the Alexandria database.

The structure belongs to space group R-3m (No. 166, hexagonal axes); the cell edges are 7.4254, 7.4254 and 22.3852 Å and the angles 90.00°, 90.00° and 120.00°. The distinct sites, in fractional coordinates, are Rb at (0.0000, 0.0000, 0.2220), Sr at (0.0000, 0.0000, 0.0000), V at (0.0000, 0.0000, 0.4405) and S at (0.0099, 0.5050, 0.2457).

The formation energy (no corrections) is -1085 meV per atom. The calculation puts the total DFT energy (no corrections) at -5.323 eV per atom.


First-principles (PBE) data for a relaxed CaPu2Tl9 crystal, as listed in the Alexandria database.

The structure belongs to space group P4/mmm (No. 123); the cell edges are 4.815, 4.815 and 14.449 Å and the angles 90.00°, 90.00° and 90.00°. The distinct sites, in fractional coordinates, are Ca at (0.000, 0.000, 0.000), Pu at (0.000, 0.000, 0.334), Tl at (0.000, 0.500, 0.169), Tl at (0.000, 0.500, 0.500), Tl at (0.500, 0.500, 0.000) and Tl at (0.500, 0.500, 0.336).

As for the formation energy: -1.13 eV/f.u. The calculation puts the total DFT energy (no corrections) at -4.424 eV per atom.


First-principles (PBE) data for a relaxed HoBO3 crystal, as listed in the Alexandria database.

The structure belongs to space group R-3c (No. 167, hexagonal axes); the cell edges are 4.9902, 4.9902 and 16.6635 Å and the angles 90.00°, 90.00° and 120.00°. The distinct sites, in fractional coordinates, are Ho at (0.0000, 0.0000, 0.0000), B at (0.0000, 0.0000, 0.2500) and O at (0.0000, 0.2783, 0.2500).

The formation energy (no corrections) is -3115 meV per atom. The calculation puts the total DFT energy (no corrections) at -8.341 eV per atom.


First-principles (PBE) data for a relaxed Hf6NiBi crystal, as listed in the Alexandria database.

The structure belongs to space group R-3m (No. 166, hexagonal axes); the cell edges are 9.3756, 9.3756 and 7.1537 Å and the angles 90.00°, 90.00° and 120.00°. The distinct sites, in fractional coordinates, are Hf at (0.0506, 0.5253, 0.3030), Ni at (0.0000, 0.0000, 0.5000) and Bi at (0.0000, 0.0000, 0.0000).

As for the formation energy: 0.84 eV/f.u. The calculation puts the total DFT energy (no corrections) at -8.567 eV per atom.


First-principles (PBE) data for a relaxed PbCl6F12 crystal, as listed in the Alexandria database.

The structure belongs to space group R-3 (No. 148, hexagonal axes); the cell edges are 7.5531, 7.5531 and 28.0023 Å and the angles 90.00°, 90.00° and 120.00°. The distinct sites, in fractional coordinates, are Pb at (0.0000, 0.0000, 0.0000), Cl at (0.0285, 0.4054, 0.9112), F at (0.0570, 0.4774, 0.1247) and F at (0.0688, 0.5560, 0.6235).

The formation energy (no corrections) is -785 meV per atom. The calculation puts the total DFT energy (no corrections) at -2.745 eV per atom.


First-principles (PBE) data for a relaxed Ba2LiVCd crystal, as listed in the Alexandria database.

The structure belongs to space group P4/mmm (No. 123); the cell edges are 6.256, 6.256 and 4.858 Å and the angles 90.00°, 90.00° and 90.00°. The distinct sites, in fractional coordinates, are Ba at (0.000, 0.500, 0.000), Li at (0.000, 0.000, 0.000), V at (0.000, 0.000, 0.500) and Cd at (0.500, 0.500, 0.500).

As for the formation energy: 2.98 eV/f.u. The calculation puts the total DFT energy (no corrections) at -2.562 eV per atom.


First-principles (PBE) data for a relaxed TlRe3Au crystal, as listed in the Alexandria database.

The structure belongs to space group Pm-3m (No. 221); the cell edges are 4.908, 4.908 and 4.908 Å and the angles 90.00°, 90.00° and 90.00°. The distinct sites, in fractional coordinates, are Tl at (0.000, 0.000, 0.000), Re at (0.000, 0.500, 0.500) and Au at (0.500, 0.500, 0.500).

As for the polymorph energy (0 for the lowest one): 0 meV/atom. As for the formation energy: 14.10 eV/f.u. The calculation puts the total DFT energy (no corrections) at -5.779 eV per atom.


First-principles (PBE) data for a relaxed PmHoSnHg crystal, as listed in the Alexandria database.

The structure belongs to space group F-43m (No. 216); the cell edges are 7.550, 7.550 and 7.550 Å and the angles 90.00°, 90.00° and 90.00°. The distinct sites, in fractional coordinates, are Pm at (0.000, 0.000, 0.000), Ho at (0.000, 0.000, 0.500), Sn at (0.250, 0.250, 0.750) and Hg at (0.250, 0.250, 0.250).

As for the polymorph energy (0 for the lowest one): 0 meV/atom. As for the formation energy: -2.29 eV/f.u. The calculation puts the total DFT energy (no corrections) at -3.981 eV per atom.


First-principles (PBE) data for a relaxed Zn2P2C crystal, as listed in the Alexandria database.

The structure belongs to space group P4/mbm (No. 127); the cell edges are 5.299, 5.299 and 5.185 Å and the angles 90.00°, 90.00° and 90.00°. The distinct sites, in fractional coordinates, are Zn at (0.177, 0.323, 0.000), P at (0.173, 0.327, 0.500) and C at (0.000, 0.000, 0.500).

As for the polymorph energy (0 for the lowest one): 0 meV/atom. As for the formation energy: 4.31 eV/f.u. The calculation puts the total DFT energy (no corrections) at -3.656 eV per atom.


Among the records above, which one has the lowest total DFT energy (no corrections)?
Hf6NiBi